{"formula": "HfZn3Si", "functional": "PBE-GGA", "state": "relaxed", "lattice_angstrom": [[5.1468, 0.0000, 0.0000], [0.0000, 5.1468, 0.0000], [0.0000, 0.0000, 5.1468]], "species": ["Hf", "Zn", "Zn", "Si", "Zn"], "fractional_positions": [[0.0000, 0.0000, 0.0000], [0.0000, 0.0000, 0.5000], [0.0000, 0.5000, 0.0000], [0.5000, 0.5000, 0.5000], [0.5000, 0.0000, 0.0000]], "de_polymorph_mev_per_atom": 686.1, "final_energy_ev_per_atom": -2.5489, "space_group": "No. 221"}